# ErMg2Zr

An optimized crystal structure of ErMg2Zr (GGA-PBE, Alexandria via LeMat-Bulk).

It has space group R3m (No. 160, hexagonal axes), with a = 3.2048 Å, b = 3.2048 Å, c = 33.2430 Å, α = 90.00°, β = 90.00° and γ = 120.00°. The asymmetric unit holds Er at (0.0000, 0.0000, 0.0000), Mg at (0.0000, 0.0000, 0.4202), Mg at (0.0000, 0.0000, 0.5807) and Zr at (0.0000, 0.0000, 0.1673).

For the raw total energy, the calculation gives -3.97 eV per atom. As for the formation energy: 0.109 eV per atom. Its crystal system is trigonal. The total magnetization comes out at 0.00 μB per formula unit.



# Pm4Tm5Mg2

An optimized crystal structure of Pm4Tm5Mg2 (GGA-PBE, Alexandria via LeMat-Bulk).

It has space group P2/m (No. 10), with a = 8.6750 Å, b = 3.4431 Å, c = 11.4150 Å, α = 90.00°, β = 93.96° and γ = 90.00°. The asymmetric unit holds Pm at (0.1482, 0.0000, 0.3884), Pm at (0.2932, 0.0000, 0.9499), Tm at (0.2049, 0.5000, 0.6690), Tm at (0.4251, 0.5000, 0.2089), Tm at (0.5000, 0.5000, 0.5000) and Mg at (0.0524, 0.5000, 0.1309).

For the raw total energy, the calculation gives -3.97 eV per atom. As for the formation energy: 0.085 eV per atom. Its crystal system is monoclinic. The total magnetization comes out at 0.00 μB per formula unit.